DFT (PBE-GGA) results for Te3AsPb6Cl2 after structural relaxation.

The structure belongs to space group C2/m (No. 12); the cell edges are 7.868, 13.439 and 7.910 Å and the angles 90.00°, 108.60° and 90.00°. The inequivalent atoms are Te at (0.000, 0.000, 0.000), Te at (0.000, 0.332, 0.000), As at (0.000, 0.500, 0.500), Pb at (0.230, 0.500, 0.257), Pb at (0.233, 0.347, 0.735) and Cl at (0.000, 0.164, 0.500).

The calculation puts the total energy at -3.77 eV per atom. The calculation puts the density of states at the Fermi level at 7.84 states/eV per cell. As for the energy relative to the elements, uncorrected: -440 meV per atom.